Density functional theory data (PBE-GGA) for an optimized crystal structure of Dy3FeHg.

Output
**Formation enthalpy at 0 K**: -202.9 meV/atom
**SG**: P2_1/m

abc: 8.4830 3.7093 8.6153
angles: 90.00 110.29 90.00
Last column: nearest neighbours and their distance in Å.
Fractional positions:
1 Dy 0.0589 0.2500 0.2268  3 Fe 2.91-3.02, 2 Hg 3.19
2 Dy 0.3135 0.2500 0.9177  1 Fe 2.98, 2 Hg 3.11
3 Dy 0.3263 0.7500 0.5782  3 Fe 2.93-3.07, 3 Hg 3.20-3.21
4 Dy 0.6737 0.2500 0.4218  3 Fe 2.93-3.07, 3 Hg 3.20-3.21
5 Dy 0.6865 0.7500 0.0823  1 Fe 2.98, 2 Hg 3.11
6 Dy 0.9411 0.7500 0.7732  3 Fe 2.91-3.02, 2 Hg 3.19
7 Fe 0.0587 0.2500 0.5769  2 Fe 2.30
8 Fe 0.9413 0.7500 0.4231  2 Fe 2.30
9 Hg 0.3620 0.7500 0.2199  8 Dy 3.11-3.35
10 Hg 0.6380 0.2500 0.7801  8 Dy 3.11-3.35